Record 1
First-principles (PBE) data for a geometry-optimized NaCa2CdTc structure, as listed in the Alexandria database.

Calculated values
- Formation energy: 1.004 eV/atom

a = 5.841 Å, b = 5.841 Å, c = 5.320 Å
α = 90.00°, β = 90.00°, γ = 90.00°
Positions (direct):
Na 0.000 0.000 0.000
Ca 0.000 0.500 0.500
Ca 0.500 0.000 0.500
Cd 0.000 0.000 0.500
Tc 0.500 0.500 0.000

=====

Record 2
First-principles (PBE) data for a geometry-optimized NpNi6As4 structure, as listed in the Alexandria database.

Calculated values
- Relative energy among the computed polymorphs: 0 meV per atom
- Formation energy: -0.349 eV/atom

a = 6.896 Å, b = 6.896 Å, c = 3.759 Å
α = 90.00°, β = 90.00°, γ = 120.00°
Positions (direct):
Np 0.000 0.000 0.000
Ni 0.206 0.412 0.500
Ni 0.206 0.794 0.500
Ni 0.538 0.077 0.000
Ni 0.538 0.462 0.000
Ni 0.588 0.794 0.500
Ni 0.923 0.462 0.000
As 0.333 0.667 0.000
As 0.373 0.187 0.500
As 0.813 0.187 0.500
As 0.813 0.627 0.500

=====

Record 3
First-principles (PBE) data for a geometry-optimized MgMnAu2 structure, as listed in the Alexandria database.

Calculated values
- Formation energy: -0.248 eV/atom

a = 5.081 Å, b = 5.081 Å, c = 4.589 Å
α = 103.48°, β = 103.48°, γ = 37.30°
Positions (direct):
Mg 0.000 0.000 0.000
Mn 0.762 0.762 0.329
Au 0.256 0.256 0.825
Au 0.501 0.501 0.496

=====

Record 4
First-principles (PBE) data for a geometry-optimized MnBeSe2 structure, as listed in the Alexandria database.

Calculated values
- DFT total energy: -4.700 eV per atom

a = 3.181 Å, b = 3.181 Å, c = 6.231 Å
α = 90.00°, β = 90.00°, γ = 90.00°
Positions (direct):
Mn 0.000 0.000 0.000
Be 0.000 0.000 0.500
Se 0.500 0.500 0.254
Se 0.500 0.500 0.746

=====

Record 5
First-principles (PBE) data for a geometry-optimized YMg2Al9 structure, as listed in the Alexandria database.

Calculated values
- Formation energy: -0.107 eV/atom

a = 9.475 Å, b = 9.475 Å, c = 9.475 Å
α = 33.29°, β = 33.29°, γ = 33.29°
Positions (direct):
Y 0.000 0.000 0.000
Mg 0.144 0.144 0.144
Mg 0.856 0.856 0.856
Al 0.080 0.585 0.585
Al 0.335 0.335 0.335
Al 0.415 0.415 0.920
Al 0.415 0.920 0.415
Al 0.500 0.500 0.500
Al 0.585 0.080 0.585
Al 0.585 0.585 0.080
Al 0.665 0.665 0.665
Al 0.920 0.415 0.415

=====

Record 6
First-principles (PBE) data for a geometry-optimized TlIn2GaNi structure, as listed in the Alexandria database.

Calculated values
- Formation energy: -0.037 eV/atom

a = 5.061 Å, b = 5.061 Å, c = 4.680 Å
α = 90.00°, β = 90.00°, γ = 90.00°
Positions (direct):
Tl 0.000 0.000 0.000
In 0.000 0.500 0.500
In 0.500 0.000 0.500
Ga 0.500 0.500 0.000
Ni 0.500 0.500 0.500

=====

- Which formula does entry 6 have?
  TlIn2GaNi